(1)
## SiTc2Ru (PBE)

Data for a relaxed SiTc2Ru crystal.

Unit cell a=2.885 b=2.885 c=6.562 alpha=90.00 beta=90.00 gamma=90.00
Fractional coordinates of all 4 atoms:
Tc 0.000 0.000 0.978
Si 0.500 0.500 0.750
Tc 0.000 0.000 0.522
Ru 0.500 0.500 0.250

Results
ΔE_f (raw) = -0.91 eV/f.u.
DFT total energy = -9.09 eV/atom

***

(2)
## BeAg2Cl (PBE)

Data for a relaxed BeAg2Cl crystal.

Unit cell a=4.689 b=4.689 c=4.689 alpha=60.00 beta=60.00 gamma=60.00
Fractional coordinates of all 4 atoms:
Ag 0.250 0.250 0.250
Ag 0.000 0.000 0.000
Be 0.500 0.500 0.500
Cl 0.750 0.750 0.750

Results
ΔE_f (raw) = 2.49 eV/f.u.
Distance to the lowest polymorph of the same formula = 0.736 eV/atom
DFT total energy = -2.20 eV/atom

***

(3)
## La5Nd2Dy4 (PBE)

Data for a relaxed La5Nd2Dy4 crystal.

Unit cell a=3.584 b=11.832 c=9.204 alpha=93.73 beta=101.23 gamma=90.00
Fractional coordinates of all 11 atoms:
La 0.905 0.467 0.810
La 0.824 0.928 0.648
Dy 0.640 0.799 0.280
Dy 0.967 0.740 0.935
La 0.095 0.533 0.190
La 0.176 0.072 0.352
Nd 0.283 0.649 0.566
Dy 0.360 0.201 0.720
Nd 0.717 0.351 0.434
Dy 0.033 0.260 0.065
La 0.500 0.000 0.000

Results
Distance to the lowest polymorph of the same formula = 0.000 eV/atom
DFT total energy = -4.71 eV/atom

***

(4)
## Er3ScFe8 (PBE)

Data for a relaxed Er3ScFe8 crystal.

Unit cell a=5.051 b=5.051 c=8.739 alpha=73.20 beta=73.20 gamma=60.00
Fractional coordinates of all 12 atoms:
Fe 0.936 0.437 0.191
Fe 0.437 0.437 0.191
Fe 0.938 0.938 0.684
Fe 0.437 0.936 0.191
Fe 0.440 0.938 0.684
Er 0.999 0.999 0.004
Fe 0.687 0.687 0.938
Fe 0.188 0.188 0.437
Er 0.501 0.501 0.497
Er 0.375 0.375 0.874
Sc 0.875 0.875 0.376
Fe 0.938 0.440 0.684

Results
DFT total energy = -7.46 eV/atom